1.
A plane-wave DFT calculation with PBEsol was carried out for a geometry-optimized BaCrHg2 structure.

a = 3.5937 Å, b = 3.5937 Å, c = 7.6890 Å
α = 90.00°, β = 90.00°, γ = 90.00°
Last column: nearest neighbours and their distance in Å.
Atoms (fractional coordinates):
Hg: 0.0000 0.0000 0.8077  4 Cr 2.94, 1 Hg 2.96
Hg: 0.0000 0.0000 0.1923  4 Cr 2.94, 1 Hg 2.96
Ba: 0.5000 0.5000 0.5000  8 Hg 3.47, 4 Ba 3.59, 2 Cr 3.84
Cr: 0.5000 0.5000 0.0000  8 Hg 2.94

Values from the calculation:
Formation energy from the elements (eV per atom): 0.08
Magnetic moment (μB per formula unit): 4.147

***

2.
A plane-wave DFT calculation with PBEsol was carried out for a geometry-optimized NaCr2Si2 structure.

a = 4.4331 Å, b = 5.0097 Å, c = 4.4331 Å
α = 63.74°, β = 90.00°, γ = 116.26°
Last column: nearest neighbours and their distance in Å.
Atoms (fractional coordinates):
Si: 0.7500 0.5000 0.7500  4 Cr 2.42
Si: 0.2500 0.5000 0.2500  4 Cr 2.42
Na: 0.0000 0.0000 0.0000  2 Cr 2.93, 8 Si 2.95
Cr: 0.3748 0.7496 0.6252  1 Cr 1.96
Cr: 0.6252 0.2504 0.3748  1 Cr 1.96

Values from the calculation:
Raw formation energy (meV/atom): 373
Magnetic moment (μB per formula unit): 0.001

***

3.
A plane-wave DFT calculation with PBEsol was carried out for a geometry-optimized Mn2PtPb structure.

a = 4.5134 Å, b = 4.5134 Å, c = 4.5134 Å
α = 60.00°, β = 60.00°, γ = 60.00°
Last column: nearest neighbours and their distance in Å.
Atoms (fractional coordinates):
Pb: 0.5000 0.5000 0.5000  4 Mn 2.76, 4 Pt 2.76
Pt: 0.2500 0.2500 0.2500  4 Pb 2.76, 4 Mn 2.76
Mn: 0.0000 0.0000 0.0000  4 Pt 2.76, 4 Mn 2.76
Mn: 0.7500 0.7500 0.7500  4 Mn 2.76, 4 Pb 2.76

Values from the calculation:
Formation energy from the elements (eV per atom): 0.35
Magnetic moment (μB per formula unit): 7.329

***

4.
A plane-wave DFT calculation with PBEsol was carried out for a geometry-optimized CsBi2Sb2 structure.

a = 5.7161 Å, b = 5.7161 Å, c = 7.0667 Å
α = 113.86°, β = 113.86°, γ = 90.00°
Last column: nearest neighbours and their distance in Å.
Atoms (fractional coordinates):
Sb: 0.6421 0.6421 0.2843  4 Bi 3.12, 1 Sb 3.30
Bi: 0.7500 0.2500 0.5000  4 Sb 3.12
Sb: 0.3579 0.3579 0.7157  4 Bi 3.12, 1 Sb 3.30
Bi: 0.2500 0.7500 0.5000  4 Sb 3.12
Cs: 0.0000 0.0000 0.0000  8 Bi 4.07, 10 Sb 4.15-4.36

Values from the calculation:
Raw formation energy (meV/atom): -147
Magnetic moment (μB per formula unit): 0.000

***

Repeat the second record exactly.
A plane-wave DFT calculation with PBEsol was carried out for a geometry-optimized NaCr2Si2 structure.

a = 4.4331 Å, b = 5.0097 Å, c = 4.4331 Å
α = 63.74°, β = 90.00°, γ = 116.26°
Last column: nearest neighbours and their distance in Å.
Atoms (fractional coordinates):
Si: 0.7500 0.5000 0.7500  4 Cr 2.42
Si: 0.2500 0.5000 0.2500  4 Cr 2.42
Na: 0.0000 0.0000 0.0000  2 Cr 2.93, 8 Si 2.95
Cr: 0.3748 0.7496 0.6252  1 Cr 1.96
Cr: 0.6252 0.2504 0.3748  1 Cr 1.96

Values from the calculation:
Raw formation energy (meV/atom): 373
Magnetic moment (μB per formula unit): 0.001